Record 1
{
  "formula": "Cd2WCl",
  "functional": "GGA-PBE",
  "state": "relaxed",
  "lattice": [[4.877, 0.000, 0.000], [2.438, 4.223, 0.000], [2.438, 1.408, 3.982]],
  "species": ["W", "Cd", "Cd", "Cl"],
  "fractional_positions": [[0.750, 0.750, 0.750], [0.250, 0.250, 0.250], [0.000, 0.000, 0.000], [0.500, 0.500, 0.500]],
  "relative_energy_ev_per_atom": 0.894,
  "sg": "F-43m"
}

Record 2
{
  "formula": "Rb2NaAlSi",
  "functional": "GGA-PBE",
  "state": "relaxed",
  "lattice": [[-5.893, 2.476, 0.731], [-1.519, -4.373, 2.569], [1.805, 2.650, 5.578]],
  "species": ["Si", "Al", "Rb", "Rb", "Na"],
  "fractional_positions": [[0.000, 0.500, 0.000], [0.500, 0.500, 0.500], [0.000, 0.000, 0.500], [0.500, 0.000, 0.000], [0.000, 0.000, 0.000]],
  "dft_energy_ev_per_cell": -8.616,
  "sg": "P4/mmm"
}

Record 3
{
  "formula": "InSbAs",
  "functional": "GGA-PBE",
  "state": "relaxed",
  "lattice": [[-3.846, -0.514, -1.213], [2.435, -3.223, 0.455], [-1.612, -0.468, 5.307]],
  "species": ["As", "Sb", "In"],
  "fractional_positions": [[0.000, 0.000, 0.991], [0.333, 0.667, 0.697], [0.667, 0.333, 0.312]],
  "relative_energy_ev_per_atom": 0.000,
  "sg": "P3m1"
}